# 1
! AcPr2Te (GGA-PBE, relaxed); values from VASP
&SYSTEM
  ibrav = 0, nat = 4, ntyp = 3
/
ATOMIC_SPECIES
Ac 227.00 Ac.upf
Pr 140.91 Pr.upf
Te 127.60 Te.upf
ATOMIC_POSITIONS crystal
Ac 0.5000 0.5000 0.5000
Pr 0.0000 0.5000 0.0000
Pr 0.0000 0.0000 0.5000
Te 0.5000 0.0000 0.0000
CELL_PARAMETERS angstrom
4.9230 0.0000 0.0000
0.0000 5.1416 0.0000
0.0000 0.0000 5.1416
! - Space-group type: P4/mmm (123)
! - Formation energy (no corrections): -516 meV per atom
! - Fermi-level density of states: 3.88 states/eV/f.u.



# 2
! HfZnCrMo2 (GGA-PBE, relaxed); values from VASP
&SYSTEM
  ibrav = 0, nat = 5, ntyp = 4
/
ATOMIC_SPECIES
Mo 95.94 Mo.upf
Cr 52.00 Cr.upf
Zn 65.41 Zn.upf
Hf 178.49 Hf.upf
ATOMIC_POSITIONS crystal
Mo 0.0000 0.0000 0.5000
Mo 0.5000 0.0000 0.0000
Cr 0.0000 0.5000 0.0000
Zn 0.5000 0.5000 0.5000
Hf 0.0000 0.0000 0.0000
CELL_PARAMETERS angstrom
-3.6367 -2.8160 1.3467
0.7580 -2.6808 -3.5586
3.0162 -2.6377 2.6295
! - Space-group type: P4/mmm (123)
! - ΔE_f: 1977 meV/atom
! - Fermi-level density of states: 4.34 states/eV/f.u.



# 3
! K4MgZn (GGA-PBE, relaxed); values from VASP
&SYSTEM
  ibrav = 0, nat = 6, ntyp = 3
/
ATOMIC_SPECIES
K 39.10 K.upf
Mg 24.30 Mg.upf
Zn 65.41 Zn.upf
ATOMIC_POSITIONS crystal
K 0.3751 0.3751 0.3751
K 0.3751 0.8746 0.3751
K 0.8746 0.3751 0.3751
K 0.3751 0.3751 0.8746
Mg 0.7500 0.7500 0.7500
Zn 0.0000 0.0000 0.0000
CELL_PARAMETERS angstrom
-0.4756 -4.4922 6.3379
-5.3089 -5.6803 0.3544
2.2401 -7.4464 -0.3309
! - Space-group type: F-43m (216)
! - ΔE_f: 386 meV/atom
! - Fermi-level density of states: 4.75 states/eV/f.u.



# 4
! Ce8ThRh2 (GGA-PBE, relaxed); values from VASP
&SYSTEM
  ibrav = 0, nat = 11, ntyp = 3
/
ATOMIC_SPECIES
Rh 102.91 Rh.upf
Ce 140.12 Ce.upf
Th 232.04 Th.upf
ATOMIC_POSITIONS crystal
Rh 0.2972 0.2712 0.2712
Rh 0.7028 0.7288 0.7288
Ce 0.8626 0.2236 0.2236
Ce 0.1374 0.7764 0.7764
Ce 0.8215 0.5371 0.5371
Ce 0.4015 0.8693 0.3543
Ce 0.5985 0.1307 0.6457
Ce 0.1785 0.4629 0.4629
Ce 0.5985 0.6457 0.1307
Ce 0.4015 0.3543 0.8693
Th 0.0000 0.0000 0.0000
CELL_PARAMETERS angstrom
-3.5828 5.4613 -0.6805
-5.4952 -5.2274 -0.7337
-4.0297 -3.4967 5.4402
! - Space-group type: C2/m (12)
! - ΔE_f: -143 meV/atom
! - Fermi-level density of states: 32.38 states/eV/f.u.



- Which of these has the lowest Fermi-level density of states?
  AcPr2Te



Copy entry 2 word for word.
! HfZnCrMo2 (GGA-PBE, relaxed); values from VASP
&SYSTEM
  ibrav = 0, nat = 5, ntyp = 4
/
ATOMIC_SPECIES
Mo 95.94 Mo.upf
Cr 52.00 Cr.upf
Zn 65.41 Zn.upf
Hf 178.49 Hf.upf
ATOMIC_POSITIONS crystal
Mo 0.0000 0.0000 0.5000
Mo 0.5000 0.0000 0.0000
Cr 0.0000 0.5000 0.0000
Zn 0.5000 0.5000 0.5000
Hf 0.0000 0.0000 0.0000
CELL_PARAMETERS angstrom
-3.6367 -2.8160 1.3467
0.7580 -2.6808 -3.5586
3.0162 -2.6377 2.6295
! - Space-group type: P4/mmm (123)
! - ΔE_f: 1977 meV/atom
! - Fermi-level density of states: 4.34 states/eV/f.u.



- Which of these has the highest Fermi-level density of states?
  Ce8ThRh2